Entry P
## MgWSN2 (PBE-GGA)

Data for a relaxed MgWSN2 crystal.

Output
Crystal system = tetragonal

a b c (Å): 3.8532 3.8532 4.7052
angles (deg): 90.00 90.00 90.00
Closest atoms and distances in Å follow each position.
Space group P4/mmm (No. 123)
Inequivalent atoms, fractional coordinates:
Mg  0.0000  0.0000  0.0000 x1  4 N 1.93
W  0.5000  0.5000  0.5000 x1  4 S 2.72, 8 N 3.04
S  0.0000  0.0000  0.5000 x1  2 Mg 2.35
N  0.0000  0.5000  0.0000 x2  2 Mg 1.93

Entry Q
## MgWSN2 (PBE-GGA)

Data for a relaxed MgWSN2 crystal.

Output
Crystal system = tetragonal

a b c (Å): 3.8958 3.8958 5.0204
angles (deg): 90.00 90.00 90.00
Closest atoms and distances in Å follow each position.
Space group P4/mmm (No. 123)
Inequivalent atoms, fractional coordinates:
Mg  0.0000  0.0000  0.0000 x1  4 S 2.75
W  0.5000  0.5000  0.5000 x1  4 N 1.95
S  0.5000  0.5000  0.0000 x1  2 W 2.51, 4 Mg 2.75
N  0.0000  0.5000  0.5000 x2  2 W 1.95

The most stable of them is entry Q.